No. 1
## KHf3Te (PBE-GGA)

Data for KHf3Te after structural relaxation.

The calculated volume is 25.48 A^3/atom. Its crystal system is cubic. The formation energy without anion corrections comes out at 2.049 eV per atom. The calculation puts the relative energy among the computed polymorphs at 101.99 kJ per mole of atoms. For the density of states at the Fermi level, the calculation gives 8.7 states/eV/cell.

a = 5.0316 Å, b = 5.0316 Å, c = 5.0316 Å
α = 90.00°, β = 90.00°, γ = 90.00°
Last column: nearest neighbours and their distance in Å.
Atoms (fractional coordinates):
Hf 0.5000 0.0000 0.0000  2 K 2.52
Hf 0.0000 0.0000 0.5000  2 K 2.52
Hf 0.0000 0.5000 0.0000  2 K 2.52
Te 0.5000 0.5000 0.5000  12 Hf 3.56
K 0.0000 0.0000 0.0000  6 Hf 2.52


No. 2
## K3HfTe (PBE-GGA)

Data for K3HfTe after structural relaxation.

The calculated volume is 57.95 A^3/atom. Its crystal system is cubic. The formation energy without anion corrections comes out at 0.557 eV per atom. The calculation puts the relative energy among the computed polymorphs at 0.00 kJ per mole of atoms. For the density of states at the Fermi level, the calculation gives 14.2 states/eV/cell.

a = 6.6171 Å, b = 6.6171 Å, c = 6.6171 Å
α = 90.00°, β = 90.00°, γ = 90.00°
Last column: nearest neighbours and their distance in Å.
Atoms (fractional coordinates):
K 0.0000 0.0000 0.5000  2 Te 3.31
K 0.5000 0.0000 0.0000  2 Te 3.31
Hf 0.5000 0.5000 0.5000  12 K 4.68
K 0.0000 0.5000 0.0000  2 Te 3.31
Te 0.0000 0.0000 0.0000  6 K 3.31


No. 3
## K3HfTe3 (PBE-GGA)

Data for K3HfTe3 after structural relaxation.

The calculated volume is 41.16 A^3/atom. Its crystal system is monoclinic. The formation energy without anion corrections comes out at -0.939 eV per atom.

a = 8.8497 Å, b = 9.2459 Å, c = 14.3250 Å
α = 90.00°, β = 90.00°, γ = 100.51°
Last column: nearest neighbours and their distance in Å.
Atoms (fractional coordinates):
Hf 0.4120 0.3543 0.5492  4 Te 2.76-2.81
Te 0.4625 0.6354 0.6306  2 Hf 2.80-2.81
Te 0.5513 0.1787 0.6665  1 Hf 2.78
Hf 0.0880 0.1457 0.0492  4 Te 2.76-2.81
Te 0.3979 0.2584 0.0335  1 Hf 2.76
Te 0.1021 0.2416 0.5335  1 Hf 2.76
Hf 0.9120 0.8543 0.9508  4 Te 2.76-2.81
Te 0.5375 0.3646 0.3694  2 Hf 2.80-2.81
K 0.8732 0.4685 0.6396  4 Te 3.52-3.63
K 0.2929 0.4036 0.8085  4 Te 3.49-3.68
Hf 0.5880 0.6457 0.4508  4 Te 2.76-2.81
K 0.1268 0.5315 0.3604  4 Te 3.52-3.63
Te 0.8979 0.7584 0.4665  1 Hf 2.76
Te 0.9487 0.3213 0.1665  1 Hf 2.78
K 0.6268 0.0315 0.1396  4 Te 3.52-3.63
K 0.3732 0.9685 0.8604  4 Te 3.52-3.63
K 0.2071 0.0964 0.3085  4 Te 3.49-3.68
Te 0.4487 0.8213 0.3335  1 Hf 2.78
K 0.2392 0.5941 0.0616  5 Te 3.47-3.81
K 0.7392 0.0941 0.4384  5 Te 3.47-3.81
Te 0.6021 0.7416 0.9665  1 Hf 2.76
K 0.7608 0.4059 0.9384  5 Te 3.47-3.81
Te 0.9625 0.1354 0.8694  2 Hf 2.80-2.81
Te 0.0375 0.8646 0.1306  2 Hf 2.80-2.81
Te 0.0513 0.6787 0.8335  1 Hf 2.78
K 0.2608 0.9059 0.5616  5 Te 3.47-3.81
K 0.7929 0.9036 0.6915  4 Te 3.49-3.68
K 0.7071 0.5964 0.1915  4 Te 3.49-3.68


No. 4
## KHfTe2 (PBE-GGA)

Data for KHfTe2 after structural relaxation.

The calculated volume is 36.38 A^3/atom. Its crystal system is orthorhombic. The formation energy without anion corrections comes out at -0.595 eV per atom. For the density of states at the Fermi level, the calculation gives 5.0 states/eV/cell.

a = 4.2996 Å, b = 5.5126 Å, c = 12.2780 Å
α = 90.00°, β = 89.99°, γ = 89.99°
Last column: nearest neighbours and their distance in Å.
Atoms (fractional coordinates):
Te 0.7009 0.5372 0.2129  3 Hf 2.82-2.83
Te 0.2005 0.0154 0.4322  1 Hf 2.72
Hf 0.2007 0.8686 0.2212  4 Te 2.72-2.83
Hf 0.7014 0.3692 0.9948  4 Te 2.72-2.83
K 0.2012 0.0116 0.7248  6 Te 3.42-3.59
K 0.7004 0.5114 0.4912  6 Te 3.42-3.59
Te 0.2015 0.0376 0.0032  3 Hf 2.82-2.83
Te 0.7013 0.5157 0.7836  1 Hf 2.72


No. 5
## KHfTe2 (PBE-GGA)

Data for KHfTe2 after structural relaxation.

The calculated volume is 27.14 A^3/atom. Its crystal system is cubic. The formation energy without anion corrections comes out at -0.322 eV per atom. For the density of states at the Fermi level, the calculation gives 4.5 states/eV/cell.

a = 5.3547 Å, b = 5.3547 Å, c = 5.3547 Å
α = 60.00°, β = 60.00°, γ = 60.00°
Last column: nearest neighbours and their distance in Å.
Atoms (fractional coordinates):
Te 0.7500 0.7500 0.7500  4 K 3.28, 4 Hf 3.28
Hf 0.5000 0.5000 0.5000  8 Te 3.28
Te 0.2500 0.2500 0.2500  4 Hf 3.28, 4 K 3.28
K 0.0000 0.0000 0.0000  8 Te 3.28


No. 6
## K2HfTe (PBE-GGA)

Data for K2HfTe after structural relaxation.

The calculated volume is 51.14 A^3/atom. Its crystal system is tetragonal. The formation energy without anion corrections comes out at 0.306 eV per atom. For the density of states at the Fermi level, the calculation gives 11.5 states/eV/cell.

a = 12.1475 Å, b = 12.1475 Å, c = 9.0260 Å
α = 47.71°, β = 47.71°, γ = 90.00°
Last column: nearest neighbours and their distance in Å.
Atoms (fractional coordinates):
K 0.4961 0.1250 0.2500  2 Te 3.44
Hf 0.0000 0.0000 0.0000  2 Te 2.77
Te 0.5000 0.5000 0.0000  2 Hf 2.77
K 0.3750 0.5039 0.7500  2 Te 3.44
K 0.2539 0.6250 0.2500  2 Te 3.44
K 0.8750 0.7461 0.7500  2 Te 3.44
Hf 0.7500 0.2500 0.5000  2 Te 2.77
Te 0.2500 0.7500 0.5000  2 Hf 2.77


No. 7
## K8HfTe6 (PBE-GGA)

Data for K8HfTe6 after structural relaxation.

The calculated volume is 44.52 A^3/atom. Its crystal system is orthorhombic. The formation energy without anion corrections comes out at -0.985 eV per atom. For the density of states at the Fermi level, the calculation gives 0.0 states/eV/cell.

a = 9.3752 Å, b = 10.6425 Å, c = 13.3873 Å
α = 90.00°, β = 90.00°, γ = 90.00°
Last column: nearest neighbours and their distance in Å.
Atoms (fractional coordinates):
K 0.4369 0.6965 0.7248  4 Te 3.50-3.61
Te 0.1851 0.7108 0.9268  1 Hf 2.74
K 0.8303 0.1833 0.8478  5 Te 3.45-3.76, 1 K 3.56
K 0.6446 0.5000 0.4870  4 Te 3.46-3.67
K 0.8303 0.8167 0.8478  5 Te 3.45-3.76, 1 K 3.56
K 0.3554 0.0000 0.9870  4 Te 3.46-3.67
K 0.4369 0.3035 0.7248  4 Te 3.50-3.61
Te 0.1851 0.2892 0.9268  1 Hf 2.74
Te 0.2667 0.0000 0.2536  8 K 3.37-3.71
Hf 0.8172 0.0000 0.5445  4 Te 2.74-2.77
K 0.1697 0.6833 0.3478  5 Te 3.45-3.76, 1 K 3.56
K 0.3405 0.0000 0.4998  3 Te 3.37-3.49
Hf 0.1828 0.5000 0.0445  4 Te 2.74-2.77
K 0.5631 0.8035 0.2248  4 Te 3.50-3.61
K 0.0119 0.6737 0.6439  4 Te 3.43-3.66, 2 K 3.56-3.70
Te 0.8149 0.7892 0.4268  1 Hf 2.74
Te 0.0547 0.0000 0.6666  1 Hf 2.76
K 0.0119 0.3263 0.6439  4 Te 3.43-3.66, 2 K 3.56-3.70
K 0.9881 0.8263 0.1439  4 Te 3.43-3.66, 2 K 3.56-3.70
Te 0.9453 0.5000 0.1666  1 Hf 2.76
Te 0.4038 0.5000 0.1815  1 Hf 2.77
Te 0.7152 0.0000 0.0441  7 K 3.43-3.50
Te 0.2848 0.5000 0.5441  7 K 3.43-3.50
Te 0.5962 0.0000 0.6815  1 Hf 2.77
K 0.1697 0.3167 0.3478  5 Te 3.45-3.76, 1 K 3.56
K 0.5631 0.1965 0.2248  4 Te 3.50-3.61
Te 0.7333 0.5000 0.7536  8 K 3.37-3.71
K 0.9881 0.1737 0.1439  4 Te 3.43-3.66, 2 K 3.56-3.70
K 0.6595 0.5000 0.9998  3 Te 3.37-3.49
Te 0.8149 0.2108 0.4268  1 Hf 2.74


No. 8
## K3HfTe4 (PBE-GGA)

Data for K3HfTe4 after structural relaxation.

The calculated volume is 37.55 A^3/atom. Its crystal system is orthorhombic. The formation energy without anion corrections comes out at -0.855 eV per atom. For the density of states at the Fermi level, the calculation gives 7.1 states/eV/cell.

a = 4.2315 Å, b = 8.5482 Å, c = 8.5482 Å
α = 103.69°, β = 90.00°, γ = 90.00°
Last column: nearest neighbours and their distance in Å.
Atoms (fractional coordinates):
Te 0.5000 0.2154 0.7846  1 Hf 2.90
K 0.0000 0.0000 0.5000  6 Te 3.41-3.42
K 0.5000 0.5000 0.5000  6 Te 3.83-3.87, 2 K 4.23
Hf 0.5000 0.0000 0.0000  6 Te 2.90-2.94
Te 0.0000 0.8063 0.8063  2 Hf 2.94
K 0.0000 0.5000 0.0000  6 Te 3.41-3.42
Te 0.5000 0.7846 0.2154  1 Hf 2.90
Te 0.0000 0.1937 0.1937  2 Hf 2.94


No. 9
## K5HfTe5 (PBE-GGA)

Data for K5HfTe5 after structural relaxation.

The calculated volume is 42.82 A^3/atom. Its crystal system is monoclinic. The formation energy without anion corrections comes out at -0.835 eV per atom. For the density of states at the Fermi level, the calculation gives 14.6 states/eV/cell.

a = 6.5403 Å, b = 8.6862 Å, c = 9.4923 Å
α = 107.98°, β = 90.00°, γ = 112.12°
Last column: nearest neighbours and their distance in Å.
Atoms (fractional coordinates):
K 0.3255 0.6511 0.1533  5 Te 3.35-3.65
K 0.0000 0.0000 0.5000  4 Te 3.34-3.46
Te 0.5000 0.0000 0.0000  2 Hf 3.27, 4 K 3.57-3.58
Te 0.1386 0.2772 0.2891  1 Hf 2.90
K 0.6745 0.3489 0.8467  5 Te 3.35-3.65
K 0.7004 0.4007 0.3116  4 Te 3.40-3.59
Hf 0.0000 0.0000 0.0000  4 Te 2.85-2.90
Te 0.1302 0.2604 0.8568  1 Hf 2.85
Te 0.8614 0.7228 0.7109  1 Hf 2.90
K 0.2996 0.5993 0.6884  4 Te 3.40-3.59
Te 0.8698 0.7396 0.1432  1 Hf 2.85


No. 10
## KHfTe2 (PBE-GGA)

Data for KHfTe2 after structural relaxation.

The calculated volume is 31.43 A^3/atom. Its crystal system is trigonal. The formation energy without anion corrections comes out at -0.869 eV per atom. For the density of states at the Fermi level, the calculation gives 2.8 states/eV/cell.

a = 4.1280 Å, b = 4.1280 Å, c = 8.8450 Å
α = 76.51°, β = 76.51°, γ = 60.00°
Last column: nearest neighbours and their distance in Å.
Atoms (fractional coordinates):
Te 0.2667 0.2667 0.2000  3 Hf 2.94
Te 0.0673 0.0673 0.7982  3 Hf 2.93
Hf 0.6671 0.6671 0.9986  6 Te 2.93-2.94
K 0.4989 0.4989 0.5032  6 Te 3.46-3.51


Raw total energy values, unit eV for the cell shown, following the record order: -23.9; -13.6; -117.0; -39.4; -18.6; -28.1; -104.7; -32.7; -40.3; -20.8.